# 1
The following is a DFT calculation (PBE) of a relaxed structure of Ba6ZnCd5.

The energy of formation from the pure elements is -0.294 eV per atom. The space group is Cmmm (65). The value obtained for the density of states at the Fermi level is 0.809 states/eV/atom. As for the size of the total moment: 0.00 μB/f.u.

abc: 9.500 9.500 8.434
angles: 90.00 90.00 143.13
Element x y z (fractional)
Ba: 0.000 0.000 0.245
Ba: 0.000 0.000 0.755
Ba: 0.336 0.664 0.248
Ba: 0.336 0.664 0.752
Ba: 0.664 0.336 0.248
Ba: 0.664 0.336 0.752
Zn: 0.500 0.500 0.000
Cd: 0.167 0.833 0.500
Cd: 0.169 0.831 0.000
Cd: 0.500 0.500 0.500
Cd: 0.831 0.169 0.000
Cd: 0.833 0.167 0.500

***

# 2
The following is a DFT calculation (PBE) of a relaxed structure of Ba6Zn2Cd.

The energy of formation from the pure elements is -0.123 eV per atom. The space group is Immm (71). The value obtained for the density of states at the Fermi level is 1.450 states/eV/atom. As for the size of the total moment: 0.00 μB/f.u.

abc: 10.152 10.152 10.152
angles: 111.42 108.85 108.16
Element x y z (fractional)
Ba: 0.064 0.248 0.815
Ba: 0.169 0.479 0.310
Ba: 0.169 0.859 0.690
Ba: 0.326 0.234 0.560
Ba: 0.326 0.766 0.092
Ba: 0.433 0.248 0.185
Ba: 0.567 0.752 0.815
Ba: 0.674 0.234 0.908
Ba: 0.674 0.766 0.440
Ba: 0.831 0.141 0.310
Ba: 0.831 0.521 0.690
Ba: 0.936 0.752 0.185
Zn: 0.160 0.500 0.660
Zn: 0.393 0.893 0.500
Zn: 0.607 0.107 0.500
Zn: 0.840 0.500 0.340
Cd: 0.000 0.000 0.000
Cd: 0.500 0.500 0.000

***

Which of these has the highest density of states at the Fermi level?
Ba6Zn2Cd

***

Among the records above, which one has the lowest energy of formation from the pure elements?
Ba6ZnCd5